(1)
Here is crystalline MnFeSiGe at its relaxed geometry from the Alexandria database. Energies are from PBE-GGA.

Cell lengths 10.412, 2.762, 3.480 Å; angles 90.00, 97.02, 90.00 degrees
Space group Cm (No. 8)
Asymmetric unit:
Mn1 0.000 0.000 0.000 x2
Fe1 0.273 0.000 0.919 x2
Si1 0.419 0.000 0.471 x2
Ge1 0.173 0.500 0.387 x2

final energy	-7.008	eV per atom
magnetization	0.55	μB/f.u.
formation energy from raw total energies	-0.09	eV per atom
energy above the lowest structure with this stoichiometry	59	meV/atom

***

(2)
Here is crystalline Ca2BiIrN at its relaxed geometry from the Alexandria database. Energies are from PBE-GGA.

Cell lengths 5.367, 5.367, 3.788 Å; angles 90.00, 90.00, 90.00 degrees
Space group P4/mmm (No. 123)
Asymmetric unit:
Ca1 0.000 0.500 0.000 x2
Bi1 0.000 0.000 0.500 x1
Ir1 0.500 0.500 0.500 x1
N1 0.500 0.500 0.000 x1

final energy	-5.633	eV per atom
magnetization	0.00	μB/f.u.
formation energy from raw total energies	-0.62	eV per atom

***

(3)
Here is crystalline BaLiCdPd2 at its relaxed geometry from the Alexandria database. Energies are from PBE-GGA.

Cell lengths 4.406, 4.406, 12.087 Å; angles 90.00, 90.00, 90.00 degrees
Space group I-4m2 (No. 119)
Asymmetric unit:
Ba1 0.000 0.000 0.000 x2
Li1 0.000 0.500 0.250 x2
Cd1 0.000 0.500 0.750 x2
Pd1 0.000 0.000 0.388 x4

final energy	-3.502	eV per atom
magnetization	0.00	μB/f.u.
formation enthalpy at 0 K	-0.474	eV/atom
energy above the lowest structure with this stoichiometry	0	meV/atom

***

(4)
Here is crystalline BeV5W at its relaxed geometry from the Alexandria database. Energies are from PBE-GGA.

Cell lengths 4.019, 4.019, 6.193 Å; angles 90.00, 90.00, 90.00 degrees
Space group P4/mmm (No. 123)
Asymmetric unit:
Be1 0.000 0.000 0.000 x1
V1 0.000 0.500 0.249 x4
V2 0.500 0.500 0.000 x1
W1 0.500 0.500 0.500 x1

final energy	-8.561	eV per atom
magnetization	0.00	μB/f.u.
formation enthalpy at 0 K	0.335	eV/atom

***

(5)
Here is crystalline AcTmTlIr at its relaxed geometry from the Alexandria database. Energies are from PBE-GGA.

Cell lengths 7.510, 7.510, 7.510 Å; angles 90.00, 90.00, 90.00 degrees
Space group F-43m (No. 216)
Asymmetric unit:
Ac1 0.000 0.000 0.000 x4
Tm1 0.000 0.000 0.500 x4
Tl1 0.250 0.250 0.250 x4
Ir1 0.250 0.250 0.750 x4

final energy	-5.256	eV per atom
magnetization	0.00	μB/f.u.
formation enthalpy at 0 K	-0.305	eV/atom

***

(6)
Here is crystalline Sc3SbO at its relaxed geometry from the Alexandria database. Energies are from PBE-GGA.

Cell lengths 4.453, 4.453, 4.453 Å; angles 90.00, 90.00, 90.00 degrees
Space group Pm-3m (No. 221)
Asymmetric unit:
Sc1 0.000 0.000 0.500 x3
Sb1 0.500 0.500 0.500 x1
O1 0.000 0.000 0.000 x1

final energy	-7.101	eV per atom
magnetization	0.00	μB/f.u.
formation energy from raw total energies	-1.49	eV per atom
energy above the lowest structure with this stoichiometry	0	meV/atom

***

(7)
Here is crystalline KAlN2 at its relaxed geometry from the Alexandria database. Energies are from PBE-GGA.

Cell lengths 3.6270, 3.6270, 21.8982 Å; angles 90.00, 90.00, 120.00 degrees
Space group R-3m (No. 166, hexagonal axes)
Asymmetric unit:
K1 0.0000 0.0000 0.0000 x3
Al1 0.0000 0.0000 0.5000 x3
N1 0.0000 0.0000 0.4189 x6

final energy	-4.439	eV per atom
magnetization	2.00	μB/f.u.
formation energy from raw total energies	0.93	eV per atom
energy above the lowest structure with this stoichiometry	1022	meV/atom

***

(8)
Here is crystalline AcPr12Tm6 at its relaxed geometry from the Alexandria database. Energies are from PBE-GGA.

Cell lengths 13.6421, 13.6421, 12.6873 Å; angles 90.00, 90.00, 120.00 degrees
Space group R-3m (No. 166, hexagonal axes)
Asymmetric unit:
Ac1 0.0000 0.0000 0.0000 x3
Pr1 0.0000 0.2587 0.5000 x18
Pr2 0.0909 0.1818 0.2613 x18
Tm1 0.0378 0.5189 0.6219 x18

final energy	-4.464	eV per atom
magnetization	0.00	μB/f.u.
formation enthalpy at 0 K	0.183	eV/atom

***

(9)
Here is crystalline TlCd2As at its relaxed geometry from the Alexandria database. Energies are from PBE-GGA.

Cell lengths 3.2723, 3.2723, 31.1882 Å; angles 90.00, 90.00, 120.00 degrees
Space group R3m (No. 160, hexagonal axes)
Asymmetric unit:
Tl1 0.0000 0.0000 0.0000 x3
Cd1 0.0000 0.0000 0.2437 x3
Cd2 0.0000 0.0000 0.4961 x3
As1 0.0000 0.0000 0.7568 x3

final energy	-2.045	eV per atom
magnetization	0.00	μB/f.u.
formation enthalpy at 0 K	0.167	eV/atom
energy above the lowest structure with this stoichiometry	153	meV/atom

***

(10)
Here is crystalline AcTb4Pr2Ho at its relaxed geometry from the Alexandria database. Energies are from PBE-GGA.

Cell lengths 6.952, 12.022, 13.493 Å; angles 90.00, 90.00, 90.00 degrees
Space group Imma (No. 74)
Asymmetric unit:
Ac1 0.000 0.000 0.000 x4
Tb1 0.000 0.006 0.258 x8
Tb2 0.238 0.250 0.493 x8
Pr1 0.000 0.000 0.500 x4
Pr2 0.250 0.250 0.750 x4
Ho1 0.250 0.250 0.250 x4

final energy	-4.183	eV per atom
magnetization	0.59	μB/f.u.
formation enthalpy at 0 K	0.413	eV/atom

***

(11)
Here is crystalline Ti3AuN at its relaxed geometry from the Alexandria database. Energies are from PBE-GGA.

Cell lengths 11.113, 3.006, 8.961 Å; angles 90.00, 104.31, 90.00 degrees
Space group C2/m (No. 12)
Asymmetric unit:
Ti1 0.036 0.000 0.373 x4
Ti2 0.102 0.500 0.134 x4
Ti3 0.209 0.500 0.619 x4
Au1 0.145 0.000 0.887 x4
N1 0.160 0.500 0.375 x4

final energy	-7.916	eV per atom
magnetization	0.00	μB/f.u.
formation energy from raw total energies	-0.86	eV per atom

***

(12)
Here is crystalline Si2AsBr at its relaxed geometry from the Alexandria database. Energies are from PBE-GGA.

Cell lengths 3.361, 3.361, 7.137 Å; angles 90.00, 90.00, 90.00 degrees
Space group P4/mmm (No. 123)
Asymmetric unit:
Si1 0.000 0.000 0.201 x2
As1 0.500 0.500 0.000 x1
Br1 0.500 0.500 0.500 x1

final energy	-3.796	eV per atom
magnetization	0.00	μB/f.u.
formation energy from raw total energies	0.50	eV per atom
energy above the lowest structure with this stoichiometry	438	meV/atom